CaFe3O5 PBE with a Hubbard U optimized geometry; symmetry = Cmcm, No. 63; VASP energy = -6.66 eV/atom; magnetic moment = 28.005 μB/cell
1.0
-1.224 0.528 2.746
-3.551 -2.981 -2.706
5.477 -10.588 4.476
Fe O Ca
6 10 2
Direct
0.269 0.537 0.609 Fe
0.269 0.537 0.891 Fe
0.000 0.000 0.500 Fe
0.731 0.463 0.109 Fe
0.731 0.463 0.391 Fe
0.000 0.000 0.000 Fe
0.901 0.802 0.863 O
0.099 0.198 0.137 O
0.901 0.802 0.637 O
0.099 0.198 0.363 O
0.811 0.621 0.250 O
0.651 0.303 0.551 O
0.349 0.697 0.449 O
0.651 0.303 0.949 O
0.189 0.379 0.750 O
0.349 0.697 0.051 O
0.478 0.956 0.250 Ca
0.522 0.044 0.750 Ca